[1]
Zn2CuCl: optimized geometry, PBE.

Its density is 5.39 g/cm3. The uncorrected formation energy comes out at 3.6 kJ/mol of atoms. For the energy above the most stable polymorph in this dataset, the calculation gives 0.141 eV/atom.

The structure belongs to space group P4mm (No. 99); the cell edges are 3.116, 3.116 and 7.298 Å and the angles 90.00°, 90.00° and 90.00°. The asymmetric unit holds Zn at (0.000, 0.000, 0.000), Zn at (0.500, 0.500, 0.194), Cu at (0.500, 0.500, 0.794) and Cl at (0.000, 0.000, 0.601).

---

[2]
RbNb3In: optimized geometry, PBE.

Its density is 5.39 g/cm3. For the energy above the most stable polymorph in this dataset, the calculation gives 0.000 eV/atom.

The structure belongs to space group Pm-3m (No. 221); the cell edges are 5.284, 5.284 and 5.284 Å and the angles 90.00°, 90.00° and 90.00°. The asymmetric unit holds Rb at (0.000, 0.000, 0.000), Nb at (0.000, 0.500, 0.500) and In at (0.500, 0.500, 0.500).